No. 1
VASP calculation (PBE) on an optimized crystal structure of RhAu2.

Unit cell a=2.813 b=14.881 c=4.821 alpha=90.00 beta=90.00 gamma=90.00
Space group Cmcm (No. 63)
Asymmetric unit:
Rh (0.000, 0.109, 0.250) [4 per cell]
Au (0.000, 0.224, 0.750) [4 per cell]
Au (0.000, 0.444, 0.250) [4 per cell]

DOS(E_F)	16.38	states/eV/cell
DFT formation energy	202	meV/atom
crystal system	orthorhombic

---

No. 2
VASP calculation (PBE) on an optimized crystal structure of RhAu2.

Unit cell a=4.094 b=12.177 c=4.033 alpha=90.00 beta=90.00 gamma=90.00
Space group Cmcm (No. 63)
Asymmetric unit:
Rh (0.000, 0.076, 0.250) [4 per cell]
Au (0.000, 0.249, 0.750) [4 per cell]
Au (0.000, 0.417, 0.250) [4 per cell]

DOS(E_F)	15.47	states/eV/cell
DFT formation energy	157	meV/atom
crystal system	orthorhombic

---

No. 3
VASP calculation (PBE) on an optimized crystal structure of RhAu2.

Unit cell a=4.710 b=4.710 c=2.723 alpha=90.00 beta=90.00 gamma=90.00
Space group P4/mmm (No. 123)
Asymmetric unit:
Rh (0.000, 0.000, 0.000) [1 per cell]
Au (0.000, 0.500, 0.500) [2 per cell]

DOS(E_F)	1.96	states/eV/cell
DFT formation energy	255	meV/atom
crystal system	tetragonal

---

No. 4
VASP calculation (PBE) on an optimized crystal structure of RhAu2.

Unit cell a=2.8683 b=2.8683 c=7.0518 alpha=90.00 beta=90.00 gamma=120.00
Space group P-3m1 (No. 164)
Asymmetric unit:
Rh (0.0000, 0.0000, 0.0000) [1 per cell]
Au (0.3333, 0.6667, 0.6738) [2 per cell]

DOS(E_F)	3.73	states/eV/cell
DFT formation energy	147	meV/atom
crystal system	trigonal

---

No. 5
VASP calculation (PBE) on an optimized crystal structure of Rh2Au.

Unit cell a=2.729 b=4.350 c=17.135 alpha=90.00 beta=90.00 gamma=90.00
Space group Imma (No. 74)
Asymmetric unit:
Rh (0.000, 0.250, 0.039) [4 per cell]
Rh (0.000, 0.250, 0.188) [4 per cell]
Au (0.000, 0.250, 0.620) [4 per cell]

DOS(E_F)	22.18	states/eV/cell
DFT formation energy	395	meV/atom
crystal system	orthorhombic

---

No. 6
VASP calculation (PBE) on an optimized crystal structure of Rh4Au5.

Unit cell a=8.595 b=8.595 c=3.985 alpha=90.00 beta=90.00 gamma=90.00
Space group I4/mmm (No. 139)
Asymmetric unit:
Rh (0.000, 0.349, 0.000) [8 per cell]
Au (0.000, 0.000, 0.000) [2 per cell]
Au (0.169, 0.169, 0.500) [8 per cell]

DOS(E_F)	21.34	states/eV/cell
DFT formation energy	148	meV/atom
crystal system	tetragonal

---

No. 7
VASP calculation (PBE) on an optimized crystal structure of Rh2Au.

Unit cell a=2.7914 b=2.7914 c=6.8723 alpha=90.00 beta=90.00 gamma=120.00
Space group P-3m1 (No. 164)
Asymmetric unit:
Rh (0.3333, 0.6667, 0.1534) [2 per cell]
Au (0.0000, 0.0000, 0.5000) [1 per cell]

DOS(E_F)	3.84	states/eV/cell
DFT formation energy	124	meV/atom
crystal system	trigonal

---

No. 8
VASP calculation (PBE) on an optimized crystal structure of RhAu8.

Unit cell a=8.714 b=8.714 c=4.174 alpha=90.00 beta=90.00 gamma=90.00
Space group I4/mmm (No. 139)
Asymmetric unit:
Rh (0.000, 0.000, 0.000) [2 per cell]
Au (0.000, 0.331, 0.000) [8 per cell]
Au (0.164, 0.164, 0.500) [8 per cell]

DOS(E_F)	11.58	states/eV/cell
DFT formation energy	65	meV/atom
crystal system	tetragonal

---

No. 9
VASP calculation (PBE) on an optimized crystal structure of RhAu2.

Unit cell a=2.789 b=2.789 c=26.688 alpha=90.00 beta=90.00 gamma=90.00
Space group I4_1/amd (No. 141, origin choice 2)
Asymmetric unit:
Rh (0.000, 0.250, 0.375) [4 per cell]
Au (0.000, 0.250, 0.797) [8 per cell]

DOS(E_F)	12.87	states/eV/cell
DFT formation energy	200	meV/atom
crystal system	tetragonal

---

No. 10
VASP calculation (PBE) on an optimized crystal structure of Rh2Au.

Unit cell a=2.807 b=14.428 c=4.614 alpha=90.00 beta=90.00 gamma=90.00
Space group Cmcm (No. 63)
Asymmetric unit:
Rh (0.000, 0.058, 0.250) [4 per cell]
Rh (0.000, 0.280, 0.750) [4 per cell]
Au (0.000, 0.390, 0.250) [4 per cell]

DOS(E_F)	21.12	states/eV/cell
DFT formation energy	223	meV/atom
crystal system	orthorhombic

---

No. 11
VASP calculation (PBE) on an optimized crystal structure of RhAu5.

Unit cell a=4.940 b=14.813 c=2.878 alpha=90.00 beta=90.00 gamma=90.00
Space group Cmmm (No. 65)
Asymmetric unit:
Rh (0.000, 0.000, 0.000) [2 per cell]
Au (0.000, 0.161, 0.500) [4 per cell]
Au (0.000, 0.331, 0.000) [4 per cell]
Au (0.000, 0.500, 0.500) [2 per cell]

DOS(E_F)	7.11	states/eV/cell
DFT formation energy	108	meV/atom
crystal system	orthorhombic

---

No. 12
VASP calculation (PBE) on an optimized crystal structure of Rh2Au.

Unit cell a=7.7247 b=7.7247 c=2.7573 alpha=90.00 beta=90.00 gamma=120.00
Space group P-62m (No. 189)
Asymmetric unit:
Rh (0.0000, 0.3090, 0.0000) [3 per cell]
Rh (0.0000, 0.6436, 0.5000) [3 per cell]
Au (0.0000, 0.0000, 0.5000) [1 per cell]
Au (0.3333, 0.6667, 0.0000) [2 per cell]

DOS(E_F)	11.43	states/eV/cell
DFT formation energy	302	meV/atom
crystal system	hexagonal

---

No. 13
VASP calculation (PBE) on an optimized crystal structure of RhAu3.

Unit cell a=2.852 b=4.903 c=9.905 alpha=90.00 beta=90.00 gamma=90.00
Space group Cmmm (No. 65)
Asymmetric unit:
Rh (0.000, 0.000, 0.000) [2 per cell]
Au (0.000, 0.000, 0.500) [2 per cell]
Au (0.000, 0.500, 0.241) [4 per cell]

DOS(E_F)	8.20	states/eV/cell
DFT formation energy	155	meV/atom
crystal system	orthorhombic

---

No. 14
VASP calculation (PBE) on an optimized crystal structure of RhAu5.

Unit cell a=4.840 b=2.875 c=15.029 alpha=90.00 beta=90.00 gamma=90.00
Space group Amm2 (No. 38)
Asymmetric unit:
Rh (0.000, 0.000, 0.000) [2 per cell]
Au (0.000, 0.000, 0.338) [2 per cell]
Au (0.000, 0.000, 0.665) [2 per cell]
Au (0.500, 0.000, 0.112) [2 per cell]
Au (0.500, 0.000, 0.449) [2 per cell]
Au (0.500, 0.000, 0.779) [2 per cell]

DOS(E_F)	7.80	states/eV/cell
DFT formation energy	102	meV/atom
crystal system	orthorhombic